Entry 1:
Here is CeHoZrPa after structural relaxation from Alexandria. Energies are from GGA-PBE.

Values from the calculation:
The value obtained for the final energy is -6.864 eV/atom. Its density of states at the Fermi level is 11.079 states/eV/f.u. Its calculated formation energy is 1.101 eV/f.u. As for the crystal system: cubic. The volume comes out at 104.73 Å³/cell.

```
4
Lattice="0.000 3.741 3.741 3.741 0.000 3.741 3.741 3.741 0.000" Properties=species:S:1:pos:R:3 pbc="T T T"
Ce 0.000 0.000 0.000
Ho 1.871 1.871 1.871
Zr 3.741 3.741 3.741
Pa 5.612 5.612 5.612
```

***

Entry 2:
Here is Ce6HoPb10 after structural relaxation from Alexandria. Energies are from GGA-PBE.

Values from the calculation:
The value obtained for the final energy is -4.881 eV/atom. Its density of states at the Fermi level is 38.429 states/eV/f.u. Its calculated formation energy is -5.710 eV/f.u. As for the crystal system: trigonal. The volume comes out at 514.45 Å³/cell.

```
17
Lattice="9.538 0.000 0.000 -4.769 8.260 0.000 0.000 0.000 6.530" Properties=species:S:1:pos:R:3 pbc="T T T"
Ce -1.840 3.187 1.712
Ce -2.929 5.073 4.818
Ce 3.680 0.000 1.712
Ce 1.840 3.187 4.818
Ce 5.858 0.000 4.818
Ce 2.929 5.073 1.712
Ho 0.000 0.000 3.265
Pb -1.263 2.188 5.132
Pb -3.505 6.072 1.398
Pb 2.527 0.000 5.132
Pb 1.263 2.188 1.398
Pb 0.000 5.507 0.000
Pb 0.000 5.507 3.265
Pb 4.769 2.753 0.000
Pb 4.769 2.753 3.265
Pb 7.011 0.000 1.398
Pb 3.505 6.072 5.132
```

***

Entry 3:
Here is Ce3HoPb3 after structural relaxation from Alexandria. Energies are from GGA-PBE.

Values from the calculation:
The value obtained for the final energy is -4.969 eV/atom. Its density of states at the Fermi level is 20.092 states/eV/f.u. Its calculated formation energy is -1.280 eV/f.u. As for the crystal system: monoclinic. The volume comes out at 456.19 Å³/cell.

```
14
Lattice="4.090 -6.527 0.000 4.090 6.527 0.000 -1.221 0.000 8.544" Properties=species:S:1:pos:R:3 pbc="T T T"
Ce 4.090 4.228 0.000
Ce 3.480 3.432 4.272
Ce 2.903 0.000 0.730
Ce 4.056 0.000 7.814
Ce 3.480 -3.432 4.272
Ce 4.090 -4.228 0.000
Ho 1.742 0.000 4.404
Ho 5.217 0.000 4.140
Pb -0.891 0.000 6.363
Pb 1.587 2.155 6.657
Pb 1.587 -2.155 6.657
Pb 5.372 2.155 1.887
Pb 5.372 -2.155 1.887
Pb 7.850 0.000 2.181
```

***

Entry 4:
Here is Ce2Ho2Pb7 after structural relaxation from Alexandria. Energies are from GGA-PBE.

Values from the calculation:
The value obtained for the final energy is -4.280 eV/atom. Its density of states at the Fermi level is 13.654 states/eV/f.u. Its calculated formation energy is -0.100 eV/f.u. As for the crystal system: orthorhombic. The volume comes out at 367.27 Å³/cell.

```
11
Lattice="4.607 -5.511 0.000 4.607 5.511 0.000 0.000 0.000 7.232" Properties=species:S:1:pos:R:3 pbc="T T T"
Ce 1.428 0.000 0.000
Ce 7.787 0.000 0.000
Ho 4.607 2.433 3.616
Ho 4.607 -2.433 3.616
Pb 0.000 0.000 3.616
Pb 2.304 2.755 1.571
Pb 2.304 2.755 5.661
Pb 2.304 -2.755 1.571
Pb 2.304 -2.755 5.661
Pb 4.607 0.000 1.500
Pb 4.607 0.000 5.733
```

***

Question: Which of these has the highest calculated formation energy?
Answer: CeHoZrPa

***

Question: Number 2 is which compound?
Answer: Ce6HoPb10